1.
A plane-wave DFT calculation with GGA-PBE was carried out for an optimized crystal structure of SrLiLa.

The value obtained for the polymorph energy (0 for the lowest one) is 0 meV/atom. The calculation puts the formation enthalpy at 0 K at 0.0602 eV/atom.

The space group is C2/m (No. 12) and the conventional cell measures 5.6677, 5.6608 and 13.8888 Å, with angles of 90.00, 90.06 and 90.00 degrees. The asymmetric unit holds Sr at (0.2495, 0.0000, 0.1179), Li at (0.2502, 0.0000, 0.7199) and La at (0.2496, 0.0000, 0.4156).

---

2.
A plane-wave DFT calculation with GGA-PBE was carried out for an optimized crystal structure of LiSmTlBr5.

The calculation puts the energy relative to the elements, uncorrected at -1531 meV per atom.

The space group is C2/c (No. 15) and the conventional cell measures 9.3324, 12.8249 and 10.6585 Å, with angles of 90.00, 113.18 and 90.00 degrees. The asymmetric unit holds Li at (0.0000, 0.1911, 0.2500), Sm at (0.0000, 0.5000, 0.0000), Tl at (0.0000, 0.1390, 0.7500), Br at (0.0000, 0.4126, 0.7500), Br at (0.1190, 0.3018, 0.1182) and Br at (0.1852, 0.0668, 0.4332).

---

3.
A plane-wave DFT calculation with GGA-PBE was carried out for an optimized crystal structure of PmTlCd4.

The value obtained for the polymorph energy (0 for the lowest one) is 0 meV/atom. The calculation puts the formation enthalpy at 0 K at -0.2035 eV/atom.

The space group is Cmcm (No. 63) and the conventional cell measures 6.6317, 17.9992 and 5.0871 Å, with angles of 90.00, 90.00 and 90.00 degrees. The asymmetric unit holds Pm at (0.0000, 0.1205, 0.2500), Tl at (0.0000, 0.3788, 0.7500), Cd at (0.2433, 0.0427, 0.7500) and Cd at (0.2457, 0.2094, 0.7500).

---

4.
A plane-wave DFT calculation with GGA-PBE was carried out for an optimized crystal structure of Rb2SrCeSe4.

The calculation puts the energy relative to the elements, uncorrected at -1636 meV per atom.

The space group is P2/m (No. 10) and the conventional cell measures 7.6953, 4.4521 and 8.3525 Å, with angles of 90.00, 107.80 and 90.00 degrees. The asymmetric unit holds Rb at (0.0000, 0.0000, 0.0000), Rb at (0.5000, 0.5000, 0.0000), Sr at (0.0000, 0.5000, 0.5000), Ce at (0.5000, 0.0000, 0.5000), Se at (0.2591, 0.0000, 0.7005) and Se at (0.2871, 0.5000, 0.3037).

---

Please write out number 2 again, unchanged.
A plane-wave DFT calculation with GGA-PBE was carried out for an optimized crystal structure of LiSmTlBr5.

The calculation puts the energy relative to the elements, uncorrected at -1531 meV per atom.

The space group is C2/c (No. 15) and the conventional cell measures 9.3324, 12.8249 and 10.6585 Å, with angles of 90.00, 113.18 and 90.00 degrees. The asymmetric unit holds Li at (0.0000, 0.1911, 0.2500), Sm at (0.0000, 0.5000, 0.0000), Tl at (0.0000, 0.1390, 0.7500), Br at (0.0000, 0.4126, 0.7500), Br at (0.1190, 0.3018, 0.1182) and Br at (0.1852, 0.0668, 0.4332).